The following is a GGA-PBE calculation of a relaxed HoTaRh2 crystal, from the Alexandria database.

Unit cell a=4.410 b=4.410 c=5.189 alpha=64.86 beta=64.86 gamma=60.00
Fractional coordinates of all 4 atoms:
1 Ta 0.500 0.500 0.500
2 Ho 0.000 0.000 0.000
3 Rh 0.778 0.778 0.666
4 Rh 0.222 0.222 0.334

Properties
Energy above the lowest structure with this stoichiometry   0.096 eV/atom
Space-group type   No. 166
Mass density   12.03 g/cm3